No. 1
First-principles (GGA-PBEsol) data for KVS2O9 after structural relaxation, as listed in the Alexandria database.

abc: 4.935 8.859 16.309
angles: 90.00 90.00 90.00
Sites, in units of the cell vectors:
O  0.261  0.326  0.331
O  0.539  0.847  0.730
O  0.533  0.421  0.611
O  0.739  0.826  0.169
O  0.017  0.822  0.704
O  0.939  0.920  0.857
O  0.761  0.174  0.669
O  0.714  0.019  0.493
O  0.244  0.218  0.557
O  0.301  0.238  0.896
O  0.786  0.981  0.993
O  0.967  0.579  0.111
O  0.801  0.262  0.104
O  0.214  0.481  0.507
O  0.756  0.718  0.943
O  0.461  0.347  0.770
O  0.033  0.079  0.389
O  0.483  0.178  0.204
O  0.061  0.420  0.643
O  0.439  0.580  0.143
O  0.517  0.678  0.296
O  0.256  0.098  0.766
O  0.756  0.402  0.234
O  0.244  0.902  0.266
O  0.961  0.153  0.230
O  0.699  0.738  0.604
O  0.467  0.921  0.889
O  0.744  0.282  0.443
O  0.744  0.598  0.734
O  0.199  0.762  0.396
O  0.039  0.653  0.270
O  0.983  0.322  0.796
O  0.256  0.782  0.057
O  0.561  0.080  0.357
O  0.286  0.519  0.007
O  0.239  0.674  0.831
S  0.761  0.123  0.426
S  0.261  0.377  0.574
S  0.752  0.259  0.191
S  0.248  0.759  0.309
S  0.239  0.623  0.074
S  0.252  0.241  0.809
S  0.739  0.877  0.926
S  0.748  0.741  0.691
V  0.742  0.657  0.197
V  0.258  0.157  0.303
V  0.242  0.843  0.803
V  0.758  0.343  0.697
K  0.773  0.423  0.947
K  0.727  0.577  0.447
K  0.273  0.077  0.053
K  0.227  0.923  0.553

Results
raw total energy: -6.887 eV/atom
magnetization: 0.00 Bohr magnetons per cell
calculated density: 2.78 g/cm3
formation energy from raw total energies: -22.7 eV/f.u.

No. 2
First-principles (GGA-PBEsol) data for KVSO6 after structural relaxation, as listed in the Alexandria database.

abc: 5.488 8.342 11.017
angles: 90.00 90.00 90.00
Sites, in units of the cell vectors:
O  0.802  0.054  0.210
O  0.698  0.946  0.710
O  0.471  0.011  0.493
O  0.897  0.379  0.189
O  0.198  0.554  0.290
O  0.712  0.378  0.795
O  0.309  0.714  0.497
O  0.809  0.786  0.503
O  0.603  0.621  0.689
O  0.103  0.879  0.311
O  0.994  0.138  0.401
O  0.029  0.989  0.993
O  0.788  0.622  0.295
O  0.529  0.511  0.007
O  0.691  0.214  0.003
O  0.506  0.862  0.901
O  0.191  0.286  0.997
O  0.302  0.446  0.790
O  0.971  0.489  0.507
O  0.288  0.878  0.705
O  0.494  0.362  0.599
O  0.397  0.121  0.811
O  0.212  0.122  0.205
O  0.006  0.638  0.099
V  0.518  0.846  0.563
V  0.482  0.346  0.937
V  0.018  0.654  0.437
V  0.982  0.154  0.063
K  0.967  0.695  0.859
K  0.033  0.195  0.641
K  0.533  0.305  0.359
K  0.467  0.805  0.141
S  0.527  0.455  0.709
S  0.027  0.045  0.291
S  0.973  0.545  0.209
S  0.473  0.955  0.791

Results
raw total energy: -7.129 eV/atom
magnetization: 0.00 Bohr magnetons per cell
calculated density: 2.87 g/cm3
formation energy from raw total energies: -17.5 eV/f.u.